No. 1
The following is a DFT calculation (GGA-PBE) of a relaxed Tb2Y5Th4 crystal.

Values from the calculation:
Its symmetry is C2/m (12). As for the calculated formation energy: 0.0251 eV per atom.

Cell: 3.5874 8.7144 11.8897 Å, 104.56 98.68 90.00°
With the nearest neighbours (Å) after each atom.
Sites, in units of the cell vectors:
Th: 0.9534 0.6358 0.9067  4 Tb 3.47-3.56, 3 Y 3.53-3.57, 5 Th 3.57-3.61
Th: 0.0466 0.3642 0.0933  4 Tb 3.47-3.56, 3 Y 3.53-3.57, 5 Th 3.57-3.61
Th: 0.6822 0.4531 0.3645  5 Y 3.51-3.53, 1 Tb 3.56, 6 Th 3.57-3.59
Th: 0.3178 0.5469 0.6355  5 Y 3.51-3.53, 1 Tb 3.56, 6 Th 3.57-3.59
Tb: 0.4117 0.2840 0.8233  5 Th 3.47-3.56, 2 Tb 3.59, 5 Y 3.61-3.69
Tb: 0.5883 0.7160 0.1767  5 Th 3.47-3.56, 2 Tb 3.59, 5 Y 3.61-3.69
Y: 0.8629 0.9032 0.7259  3 Th 3.51-3.53, 7 Y 3.59-3.64, 2 Tb 3.69
Y: 0.2263 0.8109 0.4527  3 Th 3.52-3.53, 7 Y 3.59-3.67, 2 Tb 3.61
Y: 0.7737 0.1891 0.5473  3 Th 3.52-3.53, 7 Y 3.59-3.67, 2 Tb 3.61
Y: 0.5000 0.0000 0.0000  4 Th 3.57, 6 Y 3.59-3.60, 2 Tb 3.61
Y: 0.1371 0.0968 0.2741  3 Th 3.51-3.53, 7 Y 3.59-3.64, 2 Tb 3.69

***

No. 2
The following is a DFT calculation (GGA-PBE) of a relaxed Tb16Y6Th7 crystal.

Values from the calculation:
Its symmetry is Fm-3m (225). As for the calculated formation energy: 0.2741 eV per atom.

Cell: 11.2571 11.2571 11.2571 Å, 60.00 60.00 60.00°
With the nearest neighbours (Å) after each atom.
Sites, in units of the cell vectors:
Th: 0.5000 0.5000 0.0000  8 Tb 3.27-3.42
Th: 0.5000 0.0000 0.5000  8 Tb 3.27-3.42
Th: 0.0000 0.5000 0.5000  8 Tb 3.27-3.42
Th: 0.0000 0.5000 0.0000  8 Tb 3.27-3.42
Th: 0.0000 0.0000 0.0000  8 Tb 3.54
Th: 0.0000 0.0000 0.5000  8 Tb 3.27-3.42
Th: 0.5000 0.0000 0.0000  8 Tb 3.27-3.42
Tb: 0.6540 0.0379 0.6540  3 Th 3.27, 3 Tb 3.51
Tb: 0.3460 0.3460 0.3460  3 Th 3.27, 3 Tb 3.51
Tb: 0.8715 0.8715 0.3856  4 Th 3.42-3.54, 3 Tb 3.51, 3 Y 3.55
Tb: 0.9621 0.3460 0.3460  3 Th 3.27, 3 Tb 3.51
Tb: 0.8715 0.8715 0.8715  4 Th 3.42-3.54, 3 Tb 3.51, 3 Y 3.55
Tb: 0.6144 0.1285 0.1285  4 Th 3.42-3.54, 3 Tb 3.51, 3 Y 3.55
Tb: 0.1285 0.1285 0.1285  4 Th 3.42-3.54, 3 Tb 3.51, 3 Y 3.55
Tb: 0.3460 0.9621 0.3460  3 Th 3.27, 3 Tb 3.51
Tb: 0.0379 0.6540 0.6540  3 Th 3.27, 3 Tb 3.51
Tb: 0.1285 0.6144 0.1285  4 Th 3.42-3.54, 3 Tb 3.51, 3 Y 3.55
Tb: 0.3460 0.3460 0.9621  3 Th 3.27, 3 Tb 3.51
Tb: 0.3856 0.8715 0.8715  4 Th 3.42-3.54, 3 Tb 3.51, 3 Y 3.55
Tb: 0.1285 0.1285 0.6144  4 Th 3.42-3.54, 3 Tb 3.51, 3 Y 3.55
Tb: 0.6540 0.6540 0.0379  3 Th 3.27, 3 Tb 3.51
Tb: 0.8715 0.3856 0.8715  4 Th 3.42-3.54, 3 Tb 3.51, 3 Y 3.55
Tb: 0.6540 0.6540 0.6540  3 Th 3.27, 3 Tb 3.51
Y: 0.2582 0.7418 0.2582  8 Tb 3.55-3.74
Y: 0.2582 0.7418 0.7418  8 Tb 3.55-3.74
Y: 0.7418 0.7418 0.2582  8 Tb 3.55-3.74
Y: 0.7418 0.2582 0.2582  8 Tb 3.55-3.74
Y: 0.7418 0.2582 0.7418  8 Tb 3.55-3.74
Y: 0.2582 0.2582 0.7418  8 Tb 3.55-3.74

***

No. 3
The following is a DFT calculation (GGA-PBE) of a relaxed Tb3Y2Th crystal.

Values from the calculation:
Its symmetry is Cmc2_1 (36). As for the calculated formation energy: 0.2496 eV per atom.

Cell: 6.3946 8.1341 8.1341 Å, 71.02 90.00 90.00°
With the nearest neighbours (Å) after each atom.
Sites, in units of the cell vectors:
Y: 0.0522 0.1298 0.4927  2 Th 3.21-3.26, 3 Tb 3.40-3.48, 1 Y 3.43
Y: 0.5522 0.8702 0.5073  2 Th 3.21-3.26, 3 Tb 3.40-3.48, 1 Y 3.43
Y: 0.5522 0.5073 0.8702  2 Th 3.21-3.26, 3 Tb 3.40-3.48, 1 Y 3.43
Y: 0.0522 0.4927 0.1298  2 Th 3.21-3.26, 3 Tb 3.40-3.48, 1 Y 3.43
Th: 0.3604 0.1704 0.1704  4 Y 3.21-3.26, 3 Tb 3.27-3.52
Th: 0.8604 0.8296 0.8296  4 Y 3.21-3.26, 3 Tb 3.27-3.52
Tb: 0.0767 0.7503 0.3845  4 Tb 3.36-3.66, 4 Y 3.40-3.72, 1 Th 3.76
Tb: 0.3398 0.9157 0.9157  3 Th 3.27-3.52, 2 Tb 3.36
Tb: 0.8398 0.0843 0.0843  3 Th 3.27-3.52, 2 Tb 3.36
Tb: 0.5767 0.2497 0.6155  4 Tb 3.36-3.66, 4 Y 3.40-3.72, 1 Th 3.76
Tb: 0.0767 0.3845 0.7503  4 Tb 3.36-3.66, 4 Y 3.40-3.72, 1 Th 3.76
Tb: 0.5767 0.6155 0.2497  4 Tb 3.36-3.66, 4 Y 3.40-3.72, 1 Th 3.76

***

No. 4
The following is a DFT calculation (GGA-PBE) of a relaxed Tb15Y4Th crystal.

Values from the calculation:
Its symmetry is P4/mmm (123). As for the calculated formation energy: 0.0229 eV per atom.

Cell: 5.0490 5.0490 25.1638 Å, 90.00 90.00 90.00°
With the nearest neighbours (Å) after each atom.
Sites, in units of the cell vectors:
Tb: 0.0000 0.5000 0.5000  4 Y 3.56, 8 Tb 3.56-3.57
Tb: 0.5000 0.0000 0.9013  2 Th 3.54, 8 Tb 3.54-3.61, 2 Y 3.58
Tb: 0.0000 0.5000 0.2998  8 Tb 3.54-3.57, 4 Y 3.57
Tb: 0.5000 0.0000 0.5000  4 Y 3.56, 8 Tb 3.56-3.57
Tb: 0.5000 0.0000 0.7002  8 Tb 3.54-3.57, 4 Y 3.57
Tb: 0.5000 0.5000 0.7989  8 Tb 3.54-3.61, 4 Y 3.57
Tb: 0.5000 0.5000 0.0000  8 Tb 3.54, 4 Th 3.57
Tb: 0.5000 0.5000 0.4000  8 Tb 3.56-3.57, 4 Y 3.57
Tb: 0.0000 0.5000 0.7002  8 Tb 3.54-3.57, 4 Y 3.57
Tb: 0.5000 0.5000 0.2011  8 Tb 3.54-3.61, 4 Y 3.57
Tb: 0.0000 0.5000 0.9013  2 Th 3.54, 8 Tb 3.54-3.61, 2 Y 3.58
Tb: 0.5000 0.0000 0.0987  8 Tb 3.54-3.61, 2 Th 3.54, 2 Y 3.58
Tb: 0.0000 0.5000 0.0987  8 Tb 3.54-3.61, 2 Th 3.54, 2 Y 3.58
Tb: 0.5000 0.0000 0.2998  8 Tb 3.54-3.57, 4 Y 3.57
Tb: 0.5000 0.5000 0.6000  8 Tb 3.56-3.57, 4 Y 3.57
Y: 0.0000 0.0000 0.1998  12 Tb 3.57-3.58
Y: 0.0000 0.0000 0.4001  12 Tb 3.56-3.57
Y: 0.0000 0.0000 0.8002  12 Tb 3.57-3.58
Y: 0.0000 0.0000 0.5999  12 Tb 3.56-3.57
Th: 0.0000 0.0000 0.0000  12 Tb 3.54-3.57

***

No. 5
The following is a DFT calculation (GGA-PBE) of a relaxed Tb4YTh4 crystal.

Values from the calculation:
Its symmetry is I4/mmm (139). As for the calculated formation energy: 0.0495 eV per atom.

Cell: 5.0708 7.9695 7.9695 Å, 84.19 71.45 71.45°
With the nearest neighbours (Å) after each atom.
Sites, in units of the cell vectors:
Tb: 0.0000 0.3282 0.6719  1 Y 3.51, 6 Th 3.55-3.56, 5 Tb 3.63-3.67
Tb: 0.3282 0.6719 0.6718  1 Y 3.51, 6 Th 3.55-3.56, 5 Tb 3.63-3.67
Tb: 0.0000 0.6718 0.3281  1 Y 3.51, 6 Th 3.55-3.56, 5 Tb 3.63-3.67
Tb: 0.6718 0.3281 0.3282  1 Y 3.51, 6 Th 3.55-3.56, 5 Tb 3.63-3.67
Th: 0.6665 0.6669 0.0000  6 Tb 3.55-3.56, 4 Th 3.56-3.58, 2 Y 3.57
Th: 0.3335 0.3331 0.0000  6 Tb 3.55-3.56, 4 Th 3.56-3.58, 2 Y 3.57
Th: 0.3335 0.0000 0.3331  6 Tb 3.55-3.56, 4 Th 3.56-3.58, 2 Y 3.57
Th: 0.6666 0.0000 0.6669  6 Tb 3.55-3.56, 4 Th 3.56-3.58, 2 Y 3.57
Y: 0.0000 0.0000 0.0000  4 Tb 3.51, 8 Th 3.57

***

No. 6
The following is a DFT calculation (GGA-PBE) of a relaxed Tb3Y5Th2 crystal.

Values from the calculation:
Its symmetry is C2/c (15). As for the calculated formation energy: 0.2074 eV per atom.

Cell: 8.9901 8.9811 11.1789 Å, 121.02 121.04 73.58°
With the nearest neighbours (Å) after each atom.
Sites, in units of the cell vectors:
Y: 0.3759 0.1284 0.7530  2 Th 3.35, 2 Tb 3.39-3.40, 1 Y 3.74
Y: 0.2793 0.5293 0.0587  1 Y 3.25, 4 Tb 3.36-3.49, 2 Th 3.54
Y: 0.8771 0.6246 0.7530  2 Th 3.35, 2 Tb 3.39-3.40, 1 Y 3.74
Y: 0.0288 0.7788 0.5575  5 Tb 3.26-3.50, 2 Th 3.54
Y: 0.1229 0.3754 0.2470  2 Th 3.35, 2 Tb 3.39-3.40, 1 Y 3.74
Y: 0.7207 0.4707 0.9413  1 Y 3.25, 4 Tb 3.36-3.49, 2 Th 3.54
Y: 0.4692 0.7192 0.4385  1 Y 3.25, 4 Th 3.33-3.54, 2 Tb 3.49
Y: 0.9712 0.2212 0.4425  5 Tb 3.26-3.50, 2 Th 3.54
Y: 0.5308 0.2808 0.5615  1 Y 3.25, 4 Th 3.33-3.54, 2 Tb 3.49
Y: 0.6241 0.8716 0.2470  2 Th 3.35, 2 Tb 3.39-3.40, 1 Y 3.74
Th: 0.7639 0.0124 0.7511  2 Tb 3.13-3.32, 3 Y 3.33-3.35
Th: 0.2361 0.9876 0.2489  2 Tb 3.13-3.32, 3 Y 3.33-3.35
Th: 0.4872 0.7387 0.7511  2 Tb 3.13-3.32, 3 Y 3.33-3.35
Th: 0.5128 0.2613 0.2489  2 Tb 3.13-3.32, 3 Y 3.33-3.35
Tb: 0.2703 0.5211 0.7510  1 Th 3.13, 7 Y 3.36-3.50, 1 Tb 3.47
Tb: 0.7809 0.0309 0.0619  1 Y 3.26, 4 Th 3.32-3.52, 2 Tb 3.47
Tb: 0.2191 0.9691 0.9381  1 Y 3.26, 4 Th 3.32-3.52, 2 Tb 3.47
Tb: 0.7297 0.4789 0.2490  1 Th 3.13, 7 Y 3.36-3.50, 1 Tb 3.47
Tb: 0.9807 0.2299 0.7510  1 Th 3.13, 7 Y 3.36-3.50, 1 Tb 3.47
Tb: 0.0193 0.7701 0.2490  1 Th 3.13, 7 Y 3.36-3.50, 1 Tb 3.47

***

No. 7
The following is a DFT calculation (GGA-PBE) of a relaxed Tb3Y2Th2 crystal.

Values from the calculation:
Its symmetry is P-1 (2). As for the calculated formation energy: 0.0621 eV per atom.

Cell: 3.5055 13.0928 5.4893 Å, 77.89 90.00 113.61°
With the nearest neighbours (Å) after each atom.
Sites, in units of the cell vectors:
Th: 0.7217 0.1473 0.4266  3 Th 3.44-3.51, 4 Y 3.63, 4 Tb 3.68-3.69
Th: 0.2783 0.8527 0.5734  3 Th 3.44-3.51, 4 Y 3.63, 4 Tb 3.68-3.69
Tb: 0.0000 0.0000 0.0000  2 Y 3.32, 2 Tb 3.51, 8 Th 3.68-3.69
Tb: 0.6672 0.4445 0.2779  4 Y 3.32-3.62, 6 Tb 3.50-3.51
Tb: 0.3328 0.5555 0.7221  4 Y 3.32-3.62, 6 Tb 3.50-3.51
Y: 0.5728 0.7153 0.1420  5 Tb 3.32-3.62, 2 Y 3.51, 4 Th 3.63
Y: 0.4272 0.2847 0.8580  5 Tb 3.32-3.62, 2 Y 3.51, 4 Th 3.63

***

No. 8
The following is a DFT calculation (GGA-PBE) of a relaxed Tb2Y3Th2 crystal.

Values from the calculation:
Its symmetry is C2/m (12). As for the calculated formation energy: 0.0271 eV per atom.

Cell: 3.5813 10.7427 7.9695 Å, 58.42 77.06 60.02°
With the nearest neighbours (Å) after each atom.
Sites, in units of the cell vectors:
Y: 0.5711 0.5668 0.1567  4 Th 3.49-3.51, 3 Tb 3.58-3.69, 5 Y 3.58-3.69
Y: 0.0000 0.0000 0.0000  4 Th 3.57, 4 Y 3.58-3.60, 4 Tb 3.60-3.61
Y: 0.4289 0.4332 0.8433  4 Th 3.49-3.51, 3 Tb 3.58-3.69, 5 Y 3.58-3.69
Tb: 0.1436 0.1398 0.2937  4 Tb 3.48-3.58, 3 Th 3.55-3.57, 5 Y 3.58-3.69
Tb: 0.8564 0.8602 0.7063  4 Tb 3.48-3.58, 3 Th 3.55-3.57, 5 Y 3.58-3.69
Th: 0.2846 0.2865 0.5712  6 Y 3.49-3.57, 3 Tb 3.55-3.57, 3 Th 3.57-3.58
Th: 0.7154 0.7135 0.4288  6 Y 3.49-3.57, 3 Tb 3.55-3.57, 3 Th 3.57-3.58

***

No. 9
The following is a DFT calculation (GGA-PBE) of a relaxed Tb9Y3Th2 crystal.

Values from the calculation:
Its symmetry is Cm (8). As for the calculated formation energy: 0.2004 eV per atom.

Cell: 5.6316 12.7458 12.7459 Å, 47.94 48.55 48.55°
With the nearest neighbours (Å) after each atom.
Sites, in units of the cell vectors:
Tb: 0.7118 0.7653 0.4266  6 Tb 3.26-3.64, 1 Y 3.43, 2 Th 3.53
Tb: 0.3071 0.0694 0.7257  3 Tb 3.19-3.56, 2 Th 3.31-3.32, 1 Y 3.50
Tb: 0.7118 0.4266 0.7653  6 Tb 3.26-3.64, 1 Y 3.43, 2 Th 3.53
Tb: 0.1079 0.1281 0.4668  4 Y 3.43-3.83, 8 Tb 3.51-3.82, 1 Th 3.69
Tb: 0.9032 0.5349 0.8628  4 Tb 3.19-3.40, 1 Y 3.48, 1 Th 3.49
Tb: 0.3070 0.7256 0.0694  3 Tb 3.19-3.56, 2 Th 3.31-3.32, 1 Y 3.50
Tb: 0.9033 0.8628 0.5349  4 Tb 3.19-3.40, 1 Y 3.48, 1 Th 3.49
Tb: 0.1080 0.4668 0.1281  4 Y 3.43-3.83, 8 Tb 3.51-3.82, 1 Th 3.69
Tb: 0.2598 0.4144 0.4144  1 Y 3.37, 4 Tb 3.40-3.41
Y: 0.7443 0.0852 0.0852  2 Y 3.40, 4 Tb 3.43-3.50, 4 Th 3.61
Y: 0.8873 0.2042 0.2042  7 Tb 3.37-3.64, 2 Y 3.40, 2 Th 3.69
Y: 0.0857 0.8047 0.8047  12 Tb 3.43-3.78, 2 Th 3.73
Th: 0.4814 0.1866 0.8255  6 Tb 3.31-3.69, 3 Y 3.61-3.69
Th: 0.4814 0.8255 0.1866  6 Tb 3.31-3.69, 3 Y 3.61-3.69

***

No. 10
The following is a DFT calculation (GGA-PBE) of a relaxed TbY6Th3 crystal.

Values from the calculation:
Its symmetry is P2_1/m (11). As for the calculated formation energy: 0.1030 eV per atom.

Cell: 3.5039 13.2251 14.2964 Å, 82.40 90.00 90.00°
With the nearest neighbours (Å) after each atom.
Sites, in units of the cell vectors:
Y: 0.7500 0.4250 0.1014  3 Th 3.31-3.58, 1 Tb 3.44, 2 Y 3.50
Y: 0.2500 0.8776 0.4993  7 Y 3.35-3.68, 3 Th 3.45-3.61
Y: 0.2500 0.9370 0.0978  5 Y 3.32-3.53, 5 Th 3.39-3.60
Y: 0.7500 0.6273 0.4799  9 Y 3.50-3.79, 3 Th 3.61-3.67
Y: 0.2500 0.7759 0.2968  6 Y 3.32-3.52, 3 Th 3.39-3.53, 2 Tb 3.58
Y: 0.7500 0.7441 0.7047  5 Th 3.50-3.72, 7 Y 3.50-3.76
Y: 0.7500 0.1224 0.5007  7 Y 3.35-3.68, 3 Th 3.45-3.61
Y: 0.2500 0.3727 0.5201  9 Y 3.50-3.79, 3 Th 3.61-3.67
Y: 0.2500 0.2559 0.2953  5 Th 3.50-3.72, 7 Y 3.50-3.76
Y: 0.2500 0.5750 0.8986  3 Th 3.31-3.58, 1 Tb 3.44, 2 Y 3.50
Y: 0.7500 0.0630 0.9022  5 Y 3.32-3.53, 5 Th 3.39-3.60
Y: 0.7500 0.2241 0.7032  6 Y 3.32-3.52, 3 Th 3.39-3.53, 2 Tb 3.58
Th: 0.2500 0.9922 0.7022  3 Th 3.32-3.50, 9 Y 3.45-3.72
Th: 0.2500 0.8258 0.8978  6 Y 3.31-3.60, 3 Th 3.32-3.50
Th: 0.2500 0.5211 0.2892  7 Y 3.39-3.67, 2 Th 3.50, 2 Tb 3.62
Th: 0.7500 0.1742 0.1022  6 Y 3.31-3.60, 3 Th 3.32-3.50
Th: 0.7500 0.0078 0.2978  3 Th 3.32-3.50, 9 Y 3.45-3.72
Th: 0.7500 0.4789 0.7108  7 Y 3.39-3.67, 2 Th 3.50, 2 Tb 3.62
Tb: 0.2500 0.3152 0.8942  5 Y 3.44-3.76, 2 Tb 3.50, 4 Th 3.62-3.73
Tb: 0.7500 0.6848 0.1058  5 Y 3.44-3.76, 2 Tb 3.50, 4 Th 3.62-3.73

***

No. 11
The following is a DFT calculation (GGA-PBE) of a relaxed TbY4Th crystal.

Values from the calculation:
Its symmetry is C2/c (15). As for the calculated formation energy: 0.1642 eV per atom.

Cell: 6.6421 9.0681 8.5204 Å, 112.34 100.49 112.97°
With the nearest neighbours (Å) after each atom.
Sites, in units of the cell vectors:
Y: 0.7946 0.4203 0.2458  3 Y 3.41-3.42, 2 Th 3.44-3.52, 2 Tb 3.54-3.58
Y: 0.2478 0.2858 0.3851  2 Th 3.33-3.36, 4 Y 3.41-3.60, 2 Tb 3.62-3.71
Y: 0.7522 0.7142 0.6149  2 Th 3.33-3.36, 4 Y 3.41-3.60, 2 Tb 3.62-3.71
Y: 0.3627 0.9007 0.6149  2 Th 3.33-3.36, 4 Y 3.41-3.60, 2 Tb 3.62-3.71
Y: 0.2054 0.5797 0.7542  3 Y 3.41-3.42, 2 Th 3.44-3.52, 2 Tb 3.54-3.58
Y: 0.0488 0.1745 0.7542  3 Y 3.41-3.42, 2 Th 3.44-3.52, 2 Tb 3.54-3.58
Y: 0.6373 0.0993 0.3851  2 Th 3.33-3.36, 4 Y 3.41-3.60, 2 Tb 3.62-3.71
Y: 0.9512 0.8255 0.2458  3 Y 3.41-3.42, 2 Th 3.44-3.52, 2 Tb 3.54-3.58
Th: 0.2501 0.0001 0.0003  2 Th 3.32, 8 Y 3.33-3.52
Th: 0.7499 0.9999 0.9997  2 Th 3.32, 8 Y 3.33-3.52
Tb: 0.3409 0.5909 0.1819  10 Y 3.54-3.93
Tb: 0.6591 0.4091 0.8181  10 Y 3.54-3.93

***

No. 12
The following is a DFT calculation (GGA-PBE) of a relaxed TbY2Th5 crystal.

Values from the calculation:
Its symmetry is Pbam (55). As for the calculated formation energy: 0.0609 eV per atom.

Cell: 5.0383 7.1606 14.3500 Å, 90.00 90.00 90.00°
With the nearest neighbours (Å) after each atom.
Sites, in units of the cell vectors:
Th: 0.0000 0.5026 0.2506  7 Th 3.54-3.58, 4 Y 3.56-3.58, 1 Tb 3.60
Th: 0.0000 0.0026 0.2494  7 Th 3.54-3.58, 4 Y 3.56-3.58, 1 Tb 3.60
Th: 0.0000 0.0000 0.0000  6 Th 3.57-3.58, 2 Tb 3.58, 4 Y 3.58
Th: 0.0000 0.5000 0.5000  6 Th 3.57-3.58, 2 Tb 3.58, 4 Y 3.58
Th: 0.5000 0.7442 0.6275  6 Th 3.54-3.57, 4 Y 3.55-3.63, 2 Tb 3.61
Th: 0.5000 0.2442 0.8725  6 Th 3.54-3.57, 4 Y 3.55-3.63, 2 Tb 3.61
Th: 0.5000 0.2558 0.3725  6 Th 3.54-3.57, 4 Y 3.55-3.63, 2 Tb 3.61
Th: 0.5000 0.7558 0.1275  6 Th 3.54-3.57, 4 Y 3.55-3.63, 2 Tb 3.61
Th: 0.0000 0.9974 0.7506  7 Th 3.54-3.58, 4 Y 3.56-3.58, 1 Tb 3.60
Th: 0.0000 0.4974 0.7494  7 Th 3.54-3.58, 4 Y 3.56-3.58, 1 Tb 3.60
Y: 0.5000 0.7488 0.8746  10 Th 3.55-3.63, 2 Tb 3.57
Y: 0.5000 0.2512 0.1254  10 Th 3.55-3.63, 2 Tb 3.57
Y: 0.5000 0.7512 0.3746  10 Th 3.55-3.63, 2 Tb 3.57
Y: 0.5000 0.2488 0.6254  10 Th 3.55-3.63, 2 Tb 3.57
Tb: 0.0000 0.5000 0.0000  4 Y 3.57, 8 Th 3.58-3.61
Tb: 0.0000 0.0000 0.5000  4 Y 3.57, 8 Th 3.58-3.61

***

In Å³/atom, the V values for the records above are, in order, 32.3 34.8 33.3 32.1 32.2 33.1 32.1 32.3 33.4 32.8 33.6 32.4.